20
Lattice="-4.227 4.227 4.227 4.227 -4.227 4.227 4.227 4.227 -4.227" Properties=species:S:1:pos:R:3 comment="Rb4Cu3AuF12, relaxed, DFT PBE" volume_a3_per_atom=15.1 energy_ev_per_atom=-4.064 raw_formation_energy_ev_per_atom=-1.9693 dos_ef_per_ev_fu=7.081 pbc="T T T"
Rb 2.114 2.114 -2.114
Rb 2.114 -2.114 2.114
Rb -2.114 2.114 2.114
Rb 2.114 2.114 2.114
Cu 4.227 0.000 0.000
Cu 0.000 4.227 0.000
Cu 0.000 0.000 4.227
Au 0.000 0.000 0.000
F 2.272 0.000 0.000
F 6.182 0.000 0.000
F 4.227 2.114 0.000
F 4.227 0.000 2.114
F 0.000 2.272 0.000
F 0.000 0.000 2.272
F 2.114 4.227 0.000
F 2.114 0.000 4.227
F 0.000 6.182 0.000
F 0.000 0.000 6.182
F 0.000 4.227 2.114
F 0.000 2.114 4.227